# 1
A plane-wave DFT calculation with PBE was carried out for a geometry-optimized Li2TbHg8 structure.

abc: 4.772 7.765 8.230
angles: 118.13 106.85 90.00
Positions (direct):
Li  0.206  0.705  0.412
Hg  0.349  0.551  0.698
Tb  0.500  0.000  0.000
Li  0.794  0.295  0.588
Hg  0.841  0.840  0.682
Hg  0.651  0.449  0.302
Hg  0.348  0.145  0.696
Hg  0.652  0.855  0.304
Hg  0.000  0.308  0.999
Hg  0.000  0.692  0.001
Hg  0.159  0.160  0.318

Values from the calculation:
Mass density: 11.62 g/cm3
Density of states at the Fermi level: 4.33 states/eV/cell
E_tot: -13.6 eV/f.u.
E_form: -0.25 eV/atom
Space group: No. 12


# 2
A plane-wave DFT calculation with PBE was carried out for a geometry-optimized LiTb2Hg2 structure.

abc: 5.807 7.234 7.736
angles: 117.88 112.04 90.00
Positions (direct):
Tb  0.176  0.359  0.353
Tb  0.324  0.006  0.647
Li  0.750  0.500  0.000
Tb  0.824  0.641  0.647
Li  0.250  0.500  0.000
Hg  0.419  0.706  0.838
Hg  0.081  0.868  0.162
Hg  0.581  0.294  0.162
Tb  0.676  0.994  0.353
Hg  0.919  0.132  0.838

Values from the calculation:
Mass density: 9.27 g/cm3
Density of states at the Fermi level: 6.60 states/eV/cell
E_tot: -13.1 eV/f.u.
E_form: -0.27 eV/atom
Space group: No. 72


# 3
A plane-wave DFT calculation with PBE was carried out for a geometry-optimized Li5Tb4Hg6 structure.

abc: 4.796 11.100 13.543
angles: 90.00 90.00 102.48
Positions (direct):
Hg  0.406  0.813  0.163
Li  0.701  0.402  0.770
Li  0.670  0.339  0.100
Li  0.818  0.635  0.148
Tb  0.946  0.893  0.015
Hg  0.921  0.842  0.583
Tb  0.054  0.107  0.515
Hg  0.448  0.896  0.860
Tb  0.038  0.076  0.789
Li  0.299  0.598  0.270
Tb  0.868  0.736  0.785
Hg  0.227  0.454  0.458
Hg  0.720  0.439  0.282
Li  0.330  0.661  0.600
Tb  0.181  0.363  0.938
Hg  0.414  0.828  0.432
Li  0.538  0.076  0.147
Hg  0.773  0.546  0.958
Li  0.663  0.325  0.487
Hg  0.594  0.187  0.663
Li  0.462  0.924  0.647
Tb  0.819  0.637  0.438
Li  0.337  0.675  0.987
Tb  0.132  0.264  0.285
Hg  0.079  0.158  0.083
Li  0.182  0.365  0.648
Tb  0.962  0.924  0.289
Hg  0.552  0.104  0.360
Hg  0.586  0.172  0.932
Hg  0.280  0.561  0.782

Values from the calculation:
Mass density: 8.84 g/cm3
Density of states at the Fermi level: 18.77 states/eV/cell
E_tot: -34.7 eV/f.u.
E_form: -0.32 eV/atom
Space group: No. 36


# 4
A plane-wave DFT calculation with PBE was carried out for a geometry-optimized Li2TbHg5 structure.

abc: 7.570 7.570 8.241
angles: 117.34 117.34 90.00
Positions (direct):
Tb  0.750  0.750  0.500
Li  0.344  0.844  0.000
Hg  0.705  0.205  0.705
Hg  0.795  0.000  0.295
Tb  0.250  0.250  0.500
Li  0.156  0.344  0.000
Hg  0.295  0.795  0.295
Hg  0.500  0.705  0.705
Li  0.844  0.656  0.000
Hg  0.500  0.295  0.295
Li  0.656  0.156  0.000
Hg  0.000  0.500  0.705
Hg  0.500  0.500  0.000
Hg  0.000  0.500  0.295
Hg  0.000  0.000  0.000
Hg  0.205  0.000  0.705

Values from the calculation:
Mass density: 10.87 g/cm3
Density of states at the Fermi level: 5.67 states/eV/cell
E_tot: -12.4 eV/f.u.
E_form: -0.31 eV/atom
Space group: No. 140


# 5
A plane-wave DFT calculation with PBE was carried out for a geometry-optimized Li7Tb3Hg4 structure.

abc: 4.838 8.409 8.455
angles: 65.36 73.38 73.28
Positions (direct):
Hg  0.650  0.497  0.204
Tb  0.725  0.777  0.773
Tb  0.275  0.223  0.227
Li  0.344  0.804  0.509
Hg  0.137  0.066  0.660
Hg  0.350  0.503  0.796
Li  0.142  0.656  0.059
Li  0.494  0.836  0.175
Li  0.506  0.164  0.825
Tb  0.000  0.500  0.500
Hg  0.863  0.934  0.340
Li  0.858  0.344  0.941
Li  0.656  0.196  0.491
Li  0.000  0.000  0.000

Values from the calculation:
Mass density: 7.50 g/cm3
Density of states at the Fermi level: 9.42 states/eV/cell
E_tot: -32.1 eV/f.u.
E_form: -0.26 eV/atom
Space group: No. 12


# 6
A plane-wave DFT calculation with PBE was carried out for a geometry-optimized LiTb5Hg6 structure.

abc: 5.204 9.060 9.060
angles: 120.27 106.70 106.70
Positions (direct):
Tb  0.000  0.332  0.668
Hg  0.259  0.757  0.757
Hg  0.741  0.243  0.243
Tb  0.500  0.500  0.500
Hg  0.757  0.597  0.919
Hg  0.243  0.081  0.403
Tb  0.500  0.838  0.162
Tb  0.000  0.668  0.332
Hg  0.243  0.403  0.081
Tb  0.500  0.162  0.838
Hg  0.757  0.919  0.597
Li  0.000  0.000  0.000

Values from the calculation:
Mass density: 11.05 g/cm3
Density of states at the Fermi level: 9.95 states/eV/cell
E_tot: -32.4 eV/f.u.
E_form: -0.46 eV/atom
Space group: No. 12


# 7
A plane-wave DFT calculation with PBE was carried out for a geometry-optimized LiTbHg6 structure.

abc: 5.049 6.553 6.553
angles: 119.92 90.00 90.00
Positions (direct):
Li  0.500  0.415  0.585
Hg  0.500  0.915  0.085
Hg  0.000  0.579  0.907
Hg  0.500  0.421  0.086
Tb  0.000  0.084  0.916
Hg  0.000  0.093  0.421
Hg  0.000  0.579  0.421
Hg  0.500  0.914  0.579

Values from the calculation:
Mass density: 12.10 g/cm3
Density of states at the Fermi level: 3.38 states/eV/cell
E_tot: -10.5 eV/f.u.
E_form: -0.26 eV/atom
Space group: No. 38


# 8
A plane-wave DFT calculation with PBE was carried out for a geometry-optimized LiTbHg3 structure.

abc: 5.178 5.221 8.874
angles: 89.95 73.16 89.99
Positions (direct):
Tb  0.354  0.345  0.007
Li  0.559  0.344  0.600
Hg  0.453  0.845  0.813
Hg  0.154  0.344  0.412
Tb  0.057  0.844  0.607
Li  0.851  0.845  0.015
Hg  0.257  0.845  0.203
Hg  0.757  0.345  0.204
Hg  0.958  0.343  0.802
Hg  0.655  0.844  0.411

Values from the calculation:
Mass density: 11.10 g/cm3
ΔE to the lowest computed polymorph: 0 meV per atom
Density of states at the Fermi level: 4.07 states/eV/cell
E_tot: -9.4 eV/f.u.
E_form: -0.38 eV/atom
Space group: No. 2


# 9
A plane-wave DFT calculation with PBE was carried out for a geometry-optimized LiTb4Hg2 structure.

abc: 5.194 5.194 8.807
angles: 72.85 72.85 60.00
Positions (direct):
Tb  0.615  0.615  0.154
Tb  0.385  0.385  0.846
Hg  0.258  0.258  0.226
Hg  0.742  0.742  0.774
Tb  0.132  0.132  0.604
Tb  0.868  0.868  0.396
Li  0.000  0.000  0.000

Values from the calculation:
Mass density: 8.96 g/cm3
ΔE to the lowest computed polymorph: 0 meV per atom
Density of states at the Fermi level: 7.31 states/eV/cell
E_tot: -22.3 eV/f.u.
E_form: -0.18 eV/atom
Space group: No. 166


# 10
A plane-wave DFT calculation with PBE was carried out for a geometry-optimized Li2TbHg3 structure.

abc: 4.678 4.678 13.558
angles: 90.00 90.00 120.00
Positions (direct):
Li  0.667  0.333  0.429
Hg  0.000  0.000  0.000
Hg  0.667  0.333  0.632
Tb  0.000  0.000  0.750
Li  0.667  0.333  0.071
Li  0.333  0.667  0.571
Hg  0.667  0.333  0.868
Li  0.333  0.667  0.929
Hg  0.000  0.000  0.500
Tb  0.000  0.000  0.250
Hg  0.333  0.667  0.132
Hg  0.333  0.667  0.368

Values from the calculation:
Mass density: 10.01 g/cm3
ΔE to the lowest computed polymorph: 14 meV per atom
Density of states at the Fermi level: 7.27 states/eV/cell
E_tot: -11.6 eV/f.u.
E_form: -0.38 eV/atom
Space group: No. 194


# 11
A plane-wave DFT calculation with PBE was carried out for a geometry-optimized Li2Tb3Hg4 structure.

abc: 5.170 5.263 9.056
angles: 98.96 90.00 119.42
Positions (direct):
Tb  0.376  0.752  0.265
Hg  0.689  0.379  0.096
Hg  0.311  0.621  0.904
Hg  0.939  0.878  0.644
Li  0.273  0.545  0.600
Hg  0.061  0.122  0.356
Tb  0.624  0.248  0.735
Tb  0.000  0.000  0.000
Li  0.727  0.455  0.400

Values from the calculation:
Mass density: 10.17 g/cm3
ΔE to the lowest computed polymorph: 0 meV per atom
Density of states at the Fermi level: 5.57 states/eV/cell
E_tot: -22.5 eV/f.u.
E_form: -0.39 eV/atom
Space group: No. 12


# 12
A plane-wave DFT calculation with PBE was carried out for a geometry-optimized LiTb2Hg structure.

abc: 3.580 3.580 10.366
angles: 80.06 80.06 60.00
Positions (direct):
Li  0.500  0.500  0.500
Tb  0.079  0.079  0.762
Hg  0.667  0.667  0.000
Tb  0.254  0.254  0.238

Values from the calculation:
Mass density: 7.74 g/cm3
ΔE to the lowest computed polymorph: 174 meV per atom
Density of states at the Fermi level: 3.37 states/eV/cell
E_tot: -11.7 eV/f.u.
E_form: -0.06 eV/atom
Space group: No. 160


# 13
A plane-wave DFT calculation with PBE was carried out for a geometry-optimized LiTb2Hg3 structure.

abc: 5.143 5.143 12.568
angles: 90.00 90.00 120.00
Positions (direct):
Tb  0.000  0.000  0.500
Tb  0.667  0.333  0.820
Hg  0.333  0.667  0.425
Tb  0.000  0.000  0.000
Hg  0.000  0.000  0.745
Hg  0.333  0.667  0.910
Hg  0.667  0.333  0.575
Li  0.667  0.333  0.336
Hg  0.000  0.000  0.255
Li  0.333  0.667  0.664
Hg  0.667  0.333  0.090
Tb  0.333  0.667  0.180

Values from the calculation:
Mass density: 10.69 g/cm3
ΔE to the lowest computed polymorph: 0 meV per atom
Density of states at the Fermi level: 7.48 states/eV/cell
E_tot: -14.8 eV/f.u.
E_form: -0.46 eV/atom
Space group: No. 164


# 14
A plane-wave DFT calculation with PBE was carried out for a geometry-optimized Li2Tb3Hg6 structure.

abc: 4.674 4.674 12.402
angles: 100.86 100.86 90.00
Positions (direct):
Li  0.450  0.450  0.899
Hg  0.596  0.096  0.191
Tb  0.192  0.192  0.385
Hg  0.096  0.596  0.191
Tb  0.000  0.000  0.000
Hg  0.904  0.404  0.809
Hg  0.317  0.317  0.635
Tb  0.808  0.808  0.615
Li  0.550  0.550  0.101
Hg  0.404  0.904  0.809
Hg  0.683  0.683  0.365

Values from the calculation:
Mass density: 10.78 g/cm3
Density of states at the Fermi level: 7.59 states/eV/cell
E_tot: -22.7 eV/f.u.
E_form: -0.29 eV/atom
Space group: No. 139


# 15
A plane-wave DFT calculation with PBE was carried out for a geometry-optimized LiTb4Hg2 structure.

abc: 5.196 5.196 9.162
angles: 73.53 73.53 60.00
Positions (direct):
Li  0.000  0.000  0.000
Tb  0.214  0.214  0.357
Tb  0.627  0.627  0.120
Tb  0.373  0.373  0.880
Tb  0.786  0.786  0.643
Hg  0.095  0.095  0.714
Hg  0.905  0.905  0.286

Values from the calculation:
Mass density: 8.56 g/cm3
ΔE to the lowest computed polymorph: 106 meV per atom
Density of states at the Fermi level: 11.63 states/eV/cell
E_tot: -21.6 eV/f.u.
E_form: -0.08 eV/atom
Space group: No. 166


# 16
A plane-wave DFT calculation with PBE was carried out for a geometry-optimized LiTb2Hg5 structure.

abc: 5.091 5.091 8.177
angles: 108.14 108.14 90.00
Last column: magnetic moment on the atom in μB.
Positions (direct):
Hg  0.119  0.619  0.238  0.00
Hg  0.500  0.500  0.000  0.00
Tb  0.259  0.259  0.519  0.05
Tb  0.741  0.741  0.481  0.05
Hg  0.381  0.881  0.762  0.00
Hg  0.619  0.119  0.238  0.00
Hg  0.881  0.381  0.762  0.00
Li  0.000  0.000  0.000  0.00

Values from the calculation:
Mass density: 11.59 g/cm3
Density of states at the Fermi level: 4.95 states/eV/cell
E_tot: -15.3 eV/f.u.
E_form: -0.33 eV/atom
Space group: No. 139


# 17
A plane-wave DFT calculation with PBE was carried out for a geometry-optimized LiTb3Hg5 structure.

abc: 6.236 9.030 9.030
angles: 120.00 90.00 90.00
Positions (direct):
Tb  0.250  0.637  0.637
Hg  0.500  0.667  0.333
Hg  0.750  0.293  0.000
Hg  0.000  0.667  0.333
Tb  0.250  0.363  0.000
Hg  0.750  0.707  0.707
Tb  0.750  0.000  0.637
Tb  0.250  0.000  0.363
Hg  0.250  0.293  0.293
Tb  0.750  0.363  0.363
Hg  0.000  0.333  0.667
Hg  0.250  0.707  0.000
Hg  0.750  0.000  0.293
Tb  0.750  0.637  0.000
Li  0.500  0.000  0.000
Hg  0.500  0.333  0.667
Li  0.000  0.000  0.000
Hg  0.250  0.000  0.707

Values from the calculation:
Mass density: 11.21 g/cm3
Density of states at the Fermi level: 13.28 states/eV/cell
E_tot: -21.1 eV/f.u.
E_form: -0.42 eV/atom
Space group: No. 193


# 18
A plane-wave DFT calculation with PBE was carried out for a geometry-optimized Li2TbHg structure.

abc: 5.092 5.092 4.884
angles: 61.48 61.48 54.71
Positions (direct):
Li  0.259  0.259  0.240
Li  0.999  0.999  0.001
Hg  0.742  0.742  0.759
Tb  0.500  0.500  0.500

Values from the calculation:
Mass density: 7.11 g/cm3
ΔE to the lowest computed polymorph: 32 meV per atom
Density of states at the Fermi level: 4.58 states/eV/cell
E_tot: -9.6 eV/f.u.
E_form: -0.20 eV/atom
Space group: No. 8


# 19
A plane-wave DFT calculation with PBE was carried out for a geometry-optimized Li2TbHg structure.

abc: 3.555 3.555 6.851
angles: 90.00 90.00 90.00
Last column: magnetic moment on the atom in μB.
Positions (direct):
Tb  0.500  0.500  0.500  0.07
Li  0.000  0.000  0.804  0.00
Li  0.000  0.000  0.196  0.00
Hg  0.500  0.500  0.000  0.00

Values from the calculation:
Mass density: 7.16 g/cm3
ΔE to the lowest computed polymorph: 111 meV per atom
Density of states at the Fermi level: 3.26 states/eV/cell
E_tot: -9.2 eV/f.u.
E_form: -0.12 eV/atom
Space group: No. 123


# 20
A plane-wave DFT calculation with PBE was carried out for a geometry-optimized LiTb4Hg5 structure.

abc: 3.679 3.679 18.365
angles: 90.00 90.00 90.00
Positions (direct):
Hg  0.500  0.500  0.707
Tb  0.000  0.000  0.189
Hg  0.500  0.500  0.293
Tb  0.000  0.000  0.811
Hg  0.500  0.500  0.500
Tb  0.000  0.000  0.396
Hg  0.500  0.500  0.913
Tb  0.000  0.000  0.604
Hg  0.500  0.500  0.087
Li  0.000  0.000  0.000

Values from the calculation:
Mass density: 10.99 g/cm3
Density of states at the Fermi level: 8.59 states/eV/cell
E_tot: -26.4 eV/f.u.
E_form: -0.44 eV/atom
Space group: No. 123